(1)
! HfGePd (meta-GGA SCAN, single point on PBEsol structure); values from VASP
! DFT formation energy, eV per atom: -0.927
! Space-group type: P2_1/m
! Electronic total energy, eV/atom: -39.105
! Size of the total moment, μB/f.u.: 0.00
&SYSTEM
  ibrav = 0, nat = 18, ntyp = 3
/
ATOMIC_SPECIES
Hf 178.49 Hf.upf
Ge 72.64 Ge.upf
Pd 106.42 Pd.upf
CELL_PARAMETERS angstrom
3.916 0.000 0.000
0.000 6.619 0.000
0.000 -0.020 11.373
ATOMIC_POSITIONS angstrom
Hf 0.979 3.082 4.298
Hf 2.937 0.182 8.052
Hf 0.979 6.416 3.322
Hf 0.979 2.237 0.904
Hf 2.937 3.516 7.076
Hf 2.937 4.361 10.469
Ge 2.937 1.642 10.417
Ge 0.979 4.870 8.528
Ge 0.979 1.644 6.649
Ge 0.979 4.956 0.956
Ge 2.937 4.955 4.725
Ge 2.937 1.729 2.845
Pd 2.937 0.016 1.032
Pd 2.937 0.934 5.225
Pd 0.979 2.441 9.039
Pd 0.979 5.664 6.149
Pd 2.937 4.157 2.334
Pd 0.979 6.582 10.342

(2)
! Re2AgW (meta-GGA SCAN, single point on PBEsol structure); values from VASP
! DFT formation energy, eV per atom: 0.562
! Space-group type: Cmmm
! Offset from the most stable computed form, meV per atom: 128
! Electronic total energy, eV/atom: -60.250
! Size of the total moment, μB/f.u.: 0.00
&SYSTEM
  ibrav = 0, nat = 4, ntyp = 3
/
ATOMIC_SPECIES
Ag 107.87 Ag.upf
Re 186.21 Re.upf
W 183.84 W.upf
CELL_PARAMETERS angstrom
2.704 0.000 0.000
0.000 4.896 0.006
0.000 -1.746 4.574
ATOMIC_POSITIONS angstrom
Ag 1.352 1.575 2.290
Re 0.000 2.448 0.003
Re 0.000 -0.873 2.287
W 1.352 0.000 0.000

(3)
! Y2MgS4 (meta-GGA SCAN, single point on PBEsol structure); values from VASP
! Space-group type: Fd-3m
! Offset from the most stable computed form, meV per atom: 0
! Electronic total energy, eV/atom: -16.361
! Size of the total moment, μB/f.u.: 0.00
! ΔE_f (raw), eV per atom: -2.193
&SYSTEM
  ibrav = 0, nat = 14, ntyp = 3
/
ATOMIC_SPECIES
Y 88.91 Y.upf
Mg 24.30 Mg.upf
S 32.06 S.upf
CELL_PARAMETERS angstrom
7.812 0.000 0.000
3.906 6.766 0.000
3.906 2.255 6.379
ATOMIC_POSITIONS angstrom
Y 3.906 2.255 3.987
Y 3.906 4.510 0.797
Y 1.953 1.128 0.797
Y 5.859 1.128 0.797
Mg 7.812 4.510 3.189
Mg 11.718 6.766 4.784
S 9.691 7.936 5.612
S 13.746 7.936 5.612
S 11.718 6.766 2.301
S 11.718 4.424 5.612
S 7.812 6.852 2.362
S 7.812 4.510 5.673
S 5.785 3.340 2.362
S 9.840 3.340 2.362

(4)
! Al2Ag (meta-GGA SCAN, single point on PBEsol structure); values from VASP
! DFT formation energy, eV per atom: -0.042
! Space-group type: P-62m
! Electronic total energy, eV/atom: -15.665
! Size of the total moment, μB/f.u.: 0.00
&SYSTEM
  ibrav = 0, nat = 9, ntyp = 2
/
ATOMIC_SPECIES
Al 26.98 Al.upf
Ag 107.87 Ag.upf
CELL_PARAMETERS angstrom
3.221 0.000 0.000
0.000 7.319 0.000
0.000 -3.659 6.338
ATOMIC_POSITIONS angstrom
Al 0.000 2.599 4.501
Al 0.000 -1.060 1.837
Al 0.000 2.121 0.000
Al 1.610 1.357 2.351
Al 1.610 -2.302 3.988
Al 1.610 4.604 0.000
Ag 0.000 3.659 2.113
Ag 0.000 0.000 4.226
Ag 1.610 0.000 0.000

(5)
! Ca2IrAu (meta-GGA SCAN, single point on PBEsol structure); values from VASP
! DFT formation energy, eV per atom: -0.555
! Space-group type: P4/mmm
! Electronic total energy, eV/atom: -40.451
! Size of the total moment, μB/f.u.: 0.00
&SYSTEM
  ibrav = 0, nat = 4, ntyp = 3
/
ATOMIC_SPECIES
Ca 40.08 Ca.upf
Ir 192.22 Ir.upf
Au 196.97 Au.upf
CELL_PARAMETERS angstrom
-1.964 -2.059 1.793
1.102 -3.720 -3.065
3.860 -1.202 2.847
ATOMIC_POSITIONS angstrom
Ca 1.930 -0.601 1.424
Ca 0.551 -1.860 -1.533
Ir 1.499 -3.491 0.787
Au -0.982 -1.030 0.897

(6)
! ScBeIn2 (meta-GGA SCAN, single point on PBEsol structure); values from VASP
! DFT formation energy, eV per atom: 0.054
! Space-group type: Pmm2
! Electronic total energy, eV/atom: -21.287
! Size of the total moment, μB/f.u.: 0.00
&SYSTEM
  ibrav = 0, nat = 4, ntyp = 3
/
ATOMIC_SPECIES
Sc 44.96 Sc.upf
Be 9.01 Be.upf
In 114.82 In.upf
CELL_PARAMETERS angstrom
-0.526 -0.036 -3.423
2.125 -3.033 -0.294
-4.945 -3.541 0.797
ATOMIC_POSITIONS angstrom
Sc -2.547 -1.824 0.410
Be -2.905 -4.188 -1.261
In -4.822 -3.453 0.777
In -0.489 -2.458 -1.651

Density in kg/m³, matching the order above: 12083; 18204; 3254; 5396; 9476; 5967